! TaCdAs2 | the Alexandria database | PBEsol | relaxed; values from VASP
! Space-group type: P4/mmm
! Formation enthalpy at 0 K, eV per formula unit: -0.7
! DFT total energy, eV per atom: -6.17
! Volume, Å³/cell: 72.13
&SYSTEM
  ibrav = 0, nat = 4, ntyp = 3
/
ATOMIC_SPECIES
As 74.92 As.upf
Ta 180.95 Ta.upf
Cd 112.41 Cd.upf
CELL_PARAMETERS angstrom
3.376 0.000 0.000
0.000 3.376 0.000
0.000 0.000 6.328
ATOMIC_POSITIONS crystal
As 0.000 0.000 0.214
As 0.000 0.000 0.786
Ta 0.500 0.500 0.000
Cd 0.500 0.500 0.500